w.
Here is an optimized crystal structure of UPaBi2 from the Alexandria database. Energies are from GGA-PBE.

Results
The space-group type is Fm-3m.

a = 5.4350 Å, b = 5.4350 Å, c = 5.4350 Å
α = 60.00°, β = 60.00°, γ = 60.00°
Closest atoms and distances in Å follow each position.
Atoms (fractional coordinates):
Pa (0.0000, 0.0000, 0.0000)  8 Bi 3.33
U (0.5000, 0.5000, 0.5000)  8 Bi 3.33
Bi (0.2500, 0.2500, 0.2500)  4 Pa 3.33, 4 U 3.33
Bi (0.7500, 0.7500, 0.7500)  4 Pa 3.33, 4 U 3.33

---

x.
Here is an optimized crystal structure of UPaBi2 from the Alexandria database. Energies are from GGA-PBE.

Results
The space-group type is R-3m.

a = 4.5979 Å, b = 4.5979 Å, c = 7.5073 Å
α = 72.17°, β = 72.17°, γ = 60.00°
Closest atoms and distances in Å follow each position.
Atoms (fractional coordinates):
Pa (0.5000, 0.5000, 0.5000)  6 Bi 3.18
U (0.0000, 0.0000, 0.0000)  6 Bi 3.18
Bi (0.2498, 0.2498, 0.2505)  3 Pa 3.18, 3 U 3.18
Bi (0.7502, 0.7502, 0.7495)  3 Pa 3.18, 3 U 3.18

---

The structure with the least stability is x.

---

w.
Here is an optimized crystal structure of UPa2Bi from the Alexandria database. Energies are from GGA-PBE.

Results
The space-group type is Fm-3m.

a = 5.2613 Å, b = 5.2613 Å, c = 5.2613 Å
α = 60.00°, β = 60.00°, γ = 60.00°
Closest atoms and distances in Å follow each position.
Atoms (fractional coordinates):
Pa (0.2500, 0.2500, 0.2500)  4 Bi 3.22, 4 U 3.22
Pa (0.7500, 0.7500, 0.7500)  4 Bi 3.22, 4 U 3.22
U (0.0000, 0.0000, 0.0000)  8 Pa 3.22
Bi (0.5000, 0.5000, 0.5000)  8 Pa 3.22

---

x.
Here is an optimized crystal structure of UPa2Bi from the Alexandria database. Energies are from GGA-PBE.

Results
The space-group type is P4/mmm.

a = 4.5600 Å, b = 4.6463 Å, c = 4.6463 Å
α = 90.00°, β = 90.00°, γ = 90.00°
Closest atoms and distances in Å follow each position.
Atoms (fractional coordinates):
Pa (0.0000, 0.0000, 0.5000)  4 Bi 3.26, 4 U 3.26, 4 Pa 3.29
Pa (0.0000, 0.5000, 0.0000)  4 U 3.26, 4 Bi 3.26, 4 Pa 3.29
U (0.5000, 0.5000, 0.5000)  8 Pa 3.26, 4 Bi 3.29
Bi (0.5000, 0.0000, 0.0000)  8 Pa 3.26, 4 U 3.29

---

y.
Here is an optimized crystal structure of UPa2Bi from the Alexandria database. Energies are from GGA-PBE.

Results
The space-group type is R-3m.

a = 3.7900 Å, b = 3.7900 Å, c = 8.3437 Å
α = 76.87°, β = 76.87°, γ = 60.00°
Closest atoms and distances in Å follow each position.
Atoms (fractional coordinates):
Pa (0.2669, 0.2669, 0.1994)  3 U 2.71
Pa (0.7331, 0.7331, 0.8006)  3 U 2.71
U (0.0000, 0.0000, 0.0000)  6 Pa 2.71
Bi (0.5000, 0.5000, 0.5000)  6 Pa 3.26

---

The structure with the least stability is w.